{"formula": "TaCoPO2", "functional": "GGA+U", "state": "relaxed", "relative_energy_ev_per_atom": 0.000, "space_group": "No. 123", "cell": [[3.852, 0.000, 0.000], [0.000, 3.852, 0.000], [0.000, 0.000, 5.340]], "species": ["Ta", "Co", "P", "O", "O"], "frac_coords": [[0.000, 0.000, 0.000], [0.500, 0.500, 0.500], [0.000, 0.000, 0.500], [0.000, 0.500, 0.000], [0.500, 0.000, 0.000]]}